1.
{
  "formula": "LiAgI4",
  "functional": "PBE-GGA",
  "state": "optimized geometry",
  "cell": [[4.307, 0.000, 0.000], [0.000, 7.679, -0.338], [0.000, -3.329, 7.041]],
  "species": ["I", "I", "I", "I", "Li", "Ag"],
  "fractional_positions": [[0.000, 0.805, 0.352], [0.500, 0.306, 0.209], [0.500, 0.694, 0.791], [0.000, 0.195, 0.648], [0.000, 0.500, 0.500], [0.500, 0.500, 0.000]],
  "space_group": "No. 10",
  "e_tot_ev_per_atom": -2.2086,
  "m_tot_mub_per_cell": 0.0
}

=====

2.
{
  "formula": "ErPdAu",
  "functional": "PBE-GGA",
  "state": "optimized geometry",
  "cell": [[3.324, 0.000, 0.000], [0.000, 4.639, 0.000], [0.000, -2.320, 4.018]],
  "species": ["Er", "Pd", "Au"],
  "fractional_positions": [[0.667, 0.333, 0.667], [0.167, 0.000, 0.000], [0.167, 0.667, 0.333]],
  "space_group": "No. 187",
  "e_tot_ev_per_atom": -5.0931,
  "m_tot_mub_per_cell": 0.0,
  "ef_kj_per_mol_atoms": -72.25
}